# La2OsRu

An optimized crystal structure of La2OsRu (GGA-PBE, Alexandria via LeMat-Bulk).

Calculated values
symmetry	No. 35
relative energy among the computed polymorphs	342	meV/atom

```
data_La2OsRu
_symmetry_space_group_name_H-M 'P 1'
_symmetry_Int_Tables_number 1
_cell_length_a 3.309
_cell_length_b 3.309
_cell_length_c 8.976
_cell_angle_alpha 90.00
_cell_angle_beta 90.00
_cell_angle_gamma 95.21
loop_
_symmetry_equiv_pos_as_xyz
'x,y,z'
loop_
_atom_site_label
_atom_site_fract_x
_atom_site_fract_y
_atom_site_fract_z
La1 0.500 0.500 0.321
Ru1 0.500 0.500 0.686
La2 0.000 0.000 0.930
Os1 0.000 0.000 0.562
```

=====

# LaOsRu2

An optimized crystal structure of LaOsRu2 (GGA-PBE, Alexandria via LeMat-Bulk).

Calculated values
symmetry	No. 6
relative energy among the computed polymorphs	69	meV/atom

```
data_LaOsRu2
_symmetry_space_group_name_H-M 'P 1'
_symmetry_Int_Tables_number 1
_cell_length_a 4.373
_cell_length_b 2.918
_cell_length_c 5.793
_cell_angle_alpha 76.80
_cell_angle_beta 90.00
_cell_angle_gamma 90.00
loop_
_symmetry_equiv_pos_as_xyz
'x,y,z'
loop_
_atom_site_label
_atom_site_fract_x
_atom_site_fract_y
_atom_site_fract_z
Os1 0.500 0.763 0.829
Ru1 0.000 0.165 0.973
La1 0.000 0.489 0.480
Ru2 0.500 0.083 0.218
```

=====

# La6Os2Ru

An optimized crystal structure of La6Os2Ru (GGA-PBE, Alexandria via LeMat-Bulk).

Calculated values
electronic total energy	-6.98	eV/atom
symmetry	No. 58

```
data_La6Os2Ru
_symmetry_space_group_name_H-M 'P 1'
_symmetry_Int_Tables_number 1
_cell_length_a 6.755
_cell_length_b 7.201
_cell_length_c 12.157
_cell_angle_alpha 90.00
_cell_angle_beta 90.00
_cell_angle_gamma 90.00
loop_
_symmetry_equiv_pos_as_xyz
'x,y,z'
loop_
_atom_site_label
_atom_site_fract_x
_atom_site_fract_y
_atom_site_fract_z
La1 0.244 0.172 0.334
Os1 0.000 0.500 0.688
La2 0.743 0.328 0.833
La3 0.786 0.329 0.500
Os2 0.500 0.000 0.812
La4 0.257 0.672 0.167
La5 0.756 0.828 0.666
La6 0.214 0.671 0.500
Ru1 0.000 0.000 0.500
Os3 0.500 0.000 0.188
La7 0.256 0.672 0.834
La8 0.757 0.828 0.333
Os4 0.000 0.500 0.312
La9 0.744 0.328 0.166
Ru2 0.500 0.500 0.000
La10 0.243 0.172 0.667
La11 0.714 0.829 0.000
La12 0.286 0.171 0.000
```

=====

# LaOsRu

An optimized crystal structure of LaOsRu (GGA-PBE, Alexandria via LeMat-Bulk).

Calculated values
symmetry	No. 12
relative energy among the computed polymorphs	113	meV/atom

```
data_LaOsRu
_symmetry_space_group_name_H-M 'P 1'
_symmetry_Int_Tables_number 1
_cell_length_a 4.465
_cell_length_b 5.865
_cell_length_c 5.601
_cell_angle_alpha 80.39
_cell_angle_beta 66.51
_cell_angle_gamma 67.62
loop_
_symmetry_equiv_pos_as_xyz
'x,y,z'
loop_
_atom_site_label
_atom_site_fract_x
_atom_site_fract_y
_atom_site_fract_z
Ru1 0.324 0.253 0.098
La1 0.933 0.822 0.313
Os1 0.348 0.568 0.736
Os2 0.652 0.432 0.264
La2 0.067 0.178 0.687
Ru2 0.676 0.747 0.902
```

=====

# LaOsRu2

An optimized crystal structure of LaOsRu2 (GGA-PBE, Alexandria via LeMat-Bulk).

Calculated values
symmetry	No. 123
relative energy among the computed polymorphs	259	meV/atom

```
data_LaOsRu2
_symmetry_space_group_name_H-M 'P 1'
_symmetry_Int_Tables_number 1
_cell_length_a 4.018
_cell_length_b 4.192
_cell_length_c 4.192
_cell_angle_alpha 90.00
_cell_angle_beta 90.00
_cell_angle_gamma 90.00
loop_
_symmetry_equiv_pos_as_xyz
'x,y,z'
loop_
_atom_site_label
_atom_site_fract_x
_atom_site_fract_y
_atom_site_fract_z
Ru1 0.000 0.500 0.500
Os1 0.500 0.000 0.500
La1 0.500 0.500 0.000
Ru2 0.000 0.000 0.000
```

=====

# LaOsRu2

An optimized crystal structure of LaOsRu2 (GGA-PBE, Alexandria via LeMat-Bulk).

Calculated values
symmetry	No. 44
relative energy among the computed polymorphs	137	meV/atom

```
data_LaOsRu2
_symmetry_space_group_name_H-M 'P 1'
_symmetry_Int_Tables_number 1
_cell_length_a 5.838
_cell_length_b 5.838
_cell_length_c 5.838
_cell_angle_alpha 151.11
_cell_angle_beta 132.09
_cell_angle_gamma 56.91
loop_
_symmetry_equiv_pos_as_xyz
'x,y,z'
loop_
_atom_site_label
_atom_site_fract_x
_atom_site_fract_y
_atom_site_fract_z
Os1 0.220 0.720 0.500
Ru1 0.003 0.003 0.000
Ru2 0.778 0.278 0.500
La1 0.499 0.499 0.000
```

=====

# La2OsRu

An optimized crystal structure of La2OsRu (GGA-PBE, Alexandria via LeMat-Bulk).

Calculated values
symmetry	No. 166
relative energy among the computed polymorphs	468	meV/atom

```
data_La2OsRu
_symmetry_space_group_name_H-M 'P 1'
_symmetry_Int_Tables_number 1
_cell_length_a 8.717
_cell_length_b 8.717
_cell_length_c 8.717
_cell_angle_alpha 23.73
_cell_angle_beta 23.73
_cell_angle_gamma 23.73
loop_
_symmetry_equiv_pos_as_xyz
'x,y,z'
loop_
_atom_site_label
_atom_site_fract_x
_atom_site_fract_y
_atom_site_fract_z
La1 0.001 0.001 0.001
Ru1 0.750 0.750 0.750
Os1 0.250 0.250 0.250
La2 0.499 0.499 0.499
```

=====

# LaOsRu2

An optimized crystal structure of LaOsRu2 (GGA-PBE, Alexandria via LeMat-Bulk).

Calculated values
symmetry	No. 123
relative energy among the computed polymorphs	0	meV/atom

```
data_LaOsRu2
_symmetry_space_group_name_H-M 'P 1'
_symmetry_Int_Tables_number 1
_cell_length_a 2.953
_cell_length_b 2.953
_cell_length_c 8.047
_cell_angle_alpha 90.00
_cell_angle_beta 90.00
_cell_angle_gamma 90.00
loop_
_symmetry_equiv_pos_as_xyz
'x,y,z'
loop_
_atom_site_label
_atom_site_fract_x
_atom_site_fract_y
_atom_site_fract_z
Ru1 0.000 0.000 0.547
La1 0.500 0.500 0.250
Ru2 0.000 0.000 0.953
Os1 0.500 0.500 0.750
```